[1]
## KMgSi2 (GGA-PBEsol)

Data for an optimized crystal structure of KMgSi2.

Unit cell a=7.2538 b=7.2538 c=7.2538 alpha=150.86 beta=145.74 gamma=45.58
With the nearest neighbours (Å) after each atom.
Fractional positions:
K (0.0000, 0.0000, 0.0000)  6 Si 3.40-3.70, 2 K 3.65, 2 Mg 3.81
Mg (0.7356, 0.2356, 0.5000)  6 Si 2.68-2.81
Si (0.2407, 0.7407, 0.5000)  2 Si 2.40
Si (0.3569, 0.3569, 0.0000)  2 Si 2.40, 2 Mg 2.68

Results
VASP energy = -14.2 eV/cell
volume = 104 Å³ per cell
uncorrected formation energy = 0.0478 eV/atom
DOS(E_F) = 1.117 states/eV/cell



[2]
## KMgSi2 (GGA-PBEsol)

Data for an optimized crystal structure of KMgSi2.

Unit cell a=5.2569 b=5.2569 c=5.2569 alpha=129.06 beta=129.06 gamma=74.92
With the nearest neighbours (Å) after each atom.
Fractional positions:
K (0.0000, 0.0000, 0.0000)  4 Mg 3.08, 8 Si 3.08-3.20
Mg (0.7500, 0.2500, 0.5000)  4 K 3.08, 8 Si 3.08-3.20
Si (0.2500, 0.7500, 0.5000)  4 K 3.08, 4 Si 3.08, 4 Mg 3.20
Si (0.5000, 0.5000, 0.0000)  4 Mg 3.08, 4 Si 3.08, 4 K 3.20

Results
VASP energy = -12.4 eV/cell
volume = 85 Å³ per cell
uncorrected formation energy = 0.4918 eV/atom
DOS(E_F) = 1.599 states/eV/cell



[3]
## KMgSi (GGA-PBEsol)

Data for an optimized crystal structure of KMgSi.

Unit cell a=6.6518 b=6.6518 c=6.6518 alpha=147.67 beta=147.67 gamma=46.38
With the nearest neighbours (Å) after each atom.
Fractional positions:
K (0.0000, 0.0000, 0.0000)  1 Mg 3.28, 5 Si 3.60-3.63
Mg (0.7319, 0.7319, 0.0000)  4 Si 2.73
Si (0.2943, 0.2943, 0.0000)  4 Mg 2.73

Results
VASP energy = -7.9 eV/cell
volume = 84 Å³ per cell
uncorrected formation energy = 0.2191 eV/atom
DOS(E_F) = 0.944 states/eV/cell



[4]
## KMgTiSn2 (GGA-PBEsol)

Data for an optimized crystal structure of KMgTiSn2.

Unit cell a=5.2986 b=5.2986 c=5.3749 alpha=90.00 beta=90.00 gamma=90.00
With the nearest neighbours (Å) after each atom.
Fractional positions:
K (0.0000, 0.0000, 0.0000)  2 Mg 2.69
Mg (0.0000, 0.0000, 0.5000)  4 Sn 2.65, 2 K 2.69
Ti (0.5000, 0.5000, 0.0000)  4 K 3.75, 8 Sn 3.77
Sn (0.0000, 0.5000, 0.5000)  2 Mg 2.65
Sn (0.5000, 0.0000, 0.5000)  2 Mg 2.65

Results
VASP energy = -15.5 eV/cell
volume = 151 Å³ per cell
DOS(E_F) = 5.016 states/eV/cell
energy of formation = 0.834 eV per atom



[5]
## KSr2Mg2 (GGA-PBEsol)

Data for an optimized crystal structure of KSr2Mg2.

Unit cell a=12.9091 b=12.9091 c=12.9091 alpha=160.92 beta=160.92 gamma=27.11
With the nearest neighbours (Å) after each atom.
Fractional positions:
K (0.0000, 0.0000, 0.0000)  4 K 4.28, 8 Sr 4.53
Sr (0.3656, 0.3656, 0.0000)  4 Mg 3.60
Sr (0.6344, 0.6344, 0.0000)  4 Mg 3.60
Mg (0.2500, 0.7500, 0.5000)  4 Mg 3.03
Mg (0.7500, 0.2500, 0.5000)  4 Mg 3.03

Results
VASP energy = -7.5 eV/cell
volume = 230 Å³ per cell
DOS(E_F) = 4.224 states/eV/cell
energy of formation = 0.158 eV per atom



[6]
## KSrMg4 (GGA-PBEsol)

Data for an optimized crystal structure of KSrMg4.

Unit cell a=6.4416 b=6.4416 c=6.4416 alpha=60.00 beta=60.00 gamma=60.00
With the nearest neighbours (Å) after each atom.
Fractional positions:
K (0.0000, 0.0000, 0.0000)  12 Mg 3.78, 4 Sr 3.94
Sr (0.7500, 0.7500, 0.7500)  12 Mg 3.78, 4 K 3.94
Mg (0.3753, 0.3753, 0.3753)  6 Mg 3.21-3.23
Mg (0.3753, 0.3753, 0.8742)  6 Mg 3.21-3.23
Mg (0.3753, 0.8742, 0.3753)  6 Mg 3.21-3.23
Mg (0.8742, 0.3753, 0.3753)  6 Mg 3.21-3.23

Results
VASP energy = -9.7 eV/cell
volume = 189 Å³ per cell
DOS(E_F) = 4.455 states/eV/cell
energy of formation = 0.030 eV per atom



[7]
## K2SrMg (GGA-PBEsol)

Data for an optimized crystal structure of K2SrMg.

Unit cell a=6.4740 b=6.4740 c=6.4740 alpha=120.20 beta=120.20 gamma=89.65
With the nearest neighbours (Å) after each atom.
Fractional positions:
K (0.0000, 0.0000, 0.0000)  4 K 3.96, 4 Sr 3.96
K (0.7500, 0.2500, 0.5000)  4 K 3.96, 4 Mg 3.96
Sr (0.2500, 0.7500, 0.5000)  4 K 3.96, 4 Mg 3.96
Mg (0.5000, 0.5000, 0.0000)  4 K 3.96, 4 Sr 3.96

Results
VASP energy = -5.1 eV/cell
volume = 191 Å³ per cell
DOS(E_F) = 3.386 states/eV/cell
energy of formation = 0.180 eV per atom



[8]
## K2SrMg (GGA-PBEsol)

Data for an optimized crystal structure of K2SrMg.

Unit cell a=7.6049 b=7.6049 c=7.6049 alpha=138.40 beta=138.40 gamma=60.29
With the nearest neighbours (Å) after each atom.
Fractional positions:
K (0.2500, 0.7500, 0.5000)  4 K 3.82, 4 Mg 4.26, 4 Sr 4.26
K (0.7500, 0.2500, 0.5000)  4 K 3.82, 4 Mg 4.26, 4 Sr 4.26
Sr (0.0000, 0.0000, 0.0000)  4 Mg 3.82, 8 K 4.26
Mg (0.5000, 0.5000, 0.0000)  4 Sr 3.82, 8 K 4.26

Results
VASP energy = -5.1 eV/cell
volume = 192 Å³ per cell
DOS(E_F) = 3.029 states/eV/cell
energy of formation = 0.174 eV per atom



no.,M_tot (μB per formula unit)
1,0.00
2,0.00
3,0.00
4,2.19
5,0.00
6,0.00
7,0.00
8,0.00